The following is a PBE calculation of an optimized crystal structure of Na2CeCdCl8, from Alexandria via LeMat-Bulk.

Unit cell a=6.5262 b=6.3595 c=8.3889 alpha=90.00 beta=90.00 gamma=94.69
Element x y z (fractional)
Na (0.5000, 0.5000, 0.7616)
Na (0.5000, 0.5000, 0.2384)
Ce (0.0000, 0.0000, 0.5000)
Cd (0.0000, 0.0000, 0.0000)
Cl (0.1644, 0.7875, 0.2657)
Cl (0.6973, 0.7389, 0.0000)
Cl (0.8356, 0.2125, 0.2658)
Cl (0.8356, 0.2125, 0.7343)
Cl (0.3027, 0.2611, 0.0000)
Cl (0.1644, 0.7875, 0.7342)
Cl (0.6762, 0.7281, 0.5000)
Cl (0.3238, 0.2719, 0.5000)

total DFT energy (no corrections) = -44.25 eV/f.u.
ΔE_f (raw) = -1666 meV per atom
space group = P2/m, No. 10

***

The following is a PBE calculation of an optimized crystal structure of Cr3Re4, from Alexandria via LeMat-Bulk.

Unit cell a=10.9993 b=2.9710 c=2.9710 alpha=90.00 beta=97.76 gamma=82.24
Element x y z (fractional)
Cr (0.0000, 0.0000, 0.0000)
Cr (0.5598, 0.7201, 0.2799)
Cr (0.4402, 0.2799, 0.7201)
Re (0.2973, 0.8513, 0.1487)
Re (0.8615, 0.5693, 0.4307)
Re (0.1385, 0.4307, 0.5693)
Re (0.7027, 0.1487, 0.8513)

total DFT energy (no corrections) = -78.14 eV/f.u.
N(E_F) = 6.71 states/eV/f.u.
space group = I4/mmm, No. 139

***

The following is a PBE calculation of an optimized crystal structure of Tb5Mg3Pt12, from Alexandria via LeMat-Bulk.

Unit cell a=13.5504 b=13.5504 c=13.5504 alpha=109.47 beta=109.47 gamma=109.47
Element x y z (fractional)
Mg (0.7500, 0.3750, 0.1250)
Mg (0.8750, 0.7500, 0.1250)
Mg (0.3750, 0.7500, 0.6250)
Mg (0.2500, 0.1250, 0.3750)
Mg (0.8750, 0.1250, 0.2500)
Mg (0.3750, 0.6250, 0.2500)
Mg (0.6250, 0.3750, 0.7500)
Mg (0.1250, 0.8750, 0.7500)
Mg (0.7500, 0.8750, 0.6250)
Mg (0.6250, 0.2500, 0.3750)
Mg (0.1250, 0.2500, 0.8750)
Mg (0.2500, 0.6250, 0.8750)
Tb (0.1250, 0.3750, 0.2500)
Tb (0.0000, 0.5000, 0.0000)
Tb (0.0000, 0.0000, 0.0000)
Tb (0.3750, 0.2500, 0.1250)
Tb (0.5000, 0.0000, 0.5000)
Tb (0.5000, 0.5000, 0.0000)
Tb (0.1250, 0.7500, 0.3750)
Tb (0.7500, 0.1250, 0.8750)
Tb (0.7500, 0.6250, 0.3750)
Tb (0.3750, 0.1250, 0.7500)
Tb (0.6250, 0.8750, 0.2500)
Tb (0.5000, 0.5000, 0.5000)
Tb (0.5000, 0.0000, 0.0000)
Tb (0.0000, 0.0000, 0.5000)
Tb (0.2500, 0.3750, 0.6250)
Tb (0.2500, 0.8750, 0.1250)
Tb (0.0000, 0.5000, 0.5000)
Tb (0.8750, 0.2500, 0.6250)
Tb (0.6250, 0.7500, 0.8750)
Tb (0.8750, 0.6250, 0.7500)
Pt (0.7390, 0.1412, 0.0779)
Pt (0.3389, 0.5779, 0.4367)
Pt (0.9221, 0.3588, 0.2610)
Pt (0.5779, 0.2390, 0.1412)
Pt (0.5978, 0.7390, 0.6611)
Pt (0.9221, 0.5633, 0.1611)
Pt (0.3389, 0.7610, 0.4022)
Pt (0.0633, 0.9022, 0.1412)
Pt (0.5633, 0.9221, 0.6611)
Pt (0.7390, 0.5978, 0.1611)
Pt (0.7610, 0.4221, 0.3588)
Pt (0.8389, 0.9367, 0.0779)
Pt (0.1412, 0.7390, 0.5779)
Pt (0.3588, 0.4367, 0.0978)
Pt (0.0978, 0.9367, 0.3588)
Pt (0.4022, 0.1412, 0.5633)
Pt (0.0978, 0.1611, 0.2390)
Pt (0.4221, 0.6611, 0.0633)
Pt (0.8389, 0.9022, 0.2610)
Pt (0.1412, 0.4022, 0.0633)
Pt (0.3588, 0.9221, 0.7610)
Pt (0.5633, 0.6412, 0.4022)
Pt (0.9367, 0.8389, 0.5779)
Pt (0.7610, 0.3389, 0.9022)
Pt (0.4367, 0.3588, 0.5978)
Pt (0.0633, 0.1611, 0.4221)
Pt (0.2390, 0.6611, 0.0978)
Pt (0.1611, 0.0978, 0.7390)
Pt (0.6412, 0.0779, 0.2390)
Pt (0.8588, 0.5978, 0.9367)
Pt (0.5779, 0.3389, 0.9367)
Pt (0.5978, 0.8588, 0.4367)
Pt (0.9022, 0.8389, 0.7610)
Pt (0.9022, 0.0633, 0.6412)
Pt (0.8588, 0.2610, 0.4221)
Pt (0.1611, 0.0633, 0.9221)
Pt (0.6412, 0.5633, 0.9022)
Pt (0.4367, 0.0779, 0.3389)
Pt (0.2610, 0.4022, 0.8389)
Pt (0.2390, 0.5779, 0.6412)
Pt (0.9367, 0.0978, 0.8588)
Pt (0.6611, 0.2390, 0.5978)
Pt (0.4221, 0.7610, 0.8588)
Pt (0.0779, 0.4367, 0.8389)
Pt (0.4022, 0.2610, 0.3389)
Pt (0.0779, 0.6412, 0.7390)
Pt (0.6611, 0.4221, 0.5633)
Pt (0.2610, 0.8588, 0.9221)

total DFT energy (no corrections) = -107.66 eV/f.u.
N(E_F) = 12.93 states/eV/f.u.
space group = Ia-3d, No. 230

***

The following is a PBE calculation of an optimized crystal structure of Ti4Co2Ge5, from Alexandria via LeMat-Bulk.

Unit cell a=5.1118 b=7.7906 c=9.3562 alpha=114.60 beta=105.85 gamma=90.00
Element x y z (fractional)
Ti (0.9404, 0.2128, 0.8808)
Ti (0.0596, 0.7872, 0.1192)
Ti (0.5596, 0.3321, 0.1192)
Ti (0.4404, 0.6679, 0.8808)
Ti (0.6419, 0.0455, 0.2837)
Ti (0.3581, 0.9545, 0.7163)
Ti (0.8581, 0.7618, 0.7163)
Ti (0.1419, 0.2382, 0.2837)
Co (0.9535, 0.7035, 0.4070)
Co (0.5465, 0.2965, 0.5930)
Co (0.0465, 0.2965, 0.5930)
Co (0.4535, 0.7035, 0.4070)
Ge (0.2500, 0.0000, 0.0000)
Ge (0.7500, 0.0000, 0.0000)
Ge (0.5856, 0.6845, 0.1712)
Ge (0.4144, 0.3155, 0.8288)
Ge (0.9144, 0.5133, 0.8288)
Ge (0.0856, 0.4867, 0.1712)
Ge (0.7857, 0.9946, 0.5714)
Ge (0.2143, 0.0054, 0.4286)
Ge (0.2857, 0.5768, 0.5714)
Ge (0.7143, 0.4232, 0.4286)

total DFT energy (no corrections) = -74.35 eV/f.u.
N(E_F) = 9.12 states/eV/f.u.
space group = Ibam, No. 72

***

What is the total DFT energy (no corrections) in the fourth record?
-74.35 eV/f.u.